# Ni2IrRu

Ni2IrRu after structural relaxation (PBE-GGA, Alexandria via LeMat-Bulk).

Values from the calculation:
**Total magnetic moment**: 0.00 μB/cell
**SG**: Pmm2, No. 25
**Energy of formation**: 0.019 eV per atom

POSCAR file:
```
Ni2IrRu
1.0
-1.001 -0.818 2.348
3.396 -0.005 1.446
-0.608 4.890 1.444
Ni Ir Ru
2 1 1
Direct
0.000 0.000 0.010
0.500 0.500 0.242
0.500 0.500 0.749
0.000 0.000 0.499
```

# NiIr8Ru5

NiIr8Ru5 after structural relaxation (PBE-GGA, Alexandria via LeMat-Bulk).

Values from the calculation:
**Total magnetic moment**: 0.00 μB/cell
**SG**: I-4, No. 82
**Energy of formation**: 0.397 eV per atom

POSCAR file:
```
NiIr8Ru5
1.0
-6.237 0.741 1.675
2.198 -5.646 2.356
3.539 4.871 2.451
Ru Ir Ni
5 8 1
Direct
0.894 0.910 0.188
0.278 0.090 0.984
0.016 0.294 0.106
0.500 0.000 0.500
0.812 0.706 0.722
0.759 0.275 0.349
0.548 0.924 0.863
0.651 0.409 0.926
0.376 0.314 0.452
0.137 0.686 0.061
0.939 0.076 0.624
0.517 0.591 0.241
0.074 0.725 0.483
0.250 0.500 0.750
```

# NiIr8Ru6

NiIr8Ru6 after structural relaxation (PBE-GGA, Alexandria via LeMat-Bulk).

Values from the calculation:
**Total magnetic moment**: 0.16 μB/cell
**SG**: P-3, No. 147
**Energy of formation**: 0.356 eV per atom

POSCAR file:
```
NiIr8Ru6
1.0
-1.926 0.014 1.926
-2.176 -9.338 -2.105
6.798 2.047 6.780
Ru Ir Ni
6 8 1
Direct
0.249 0.620 0.091
0.751 0.530 0.620
0.751 0.091 0.470
0.249 0.909 0.530
0.249 0.470 0.380
0.751 0.380 0.909
0.250 0.929 0.204
0.250 0.796 0.725
0.750 0.204 0.275
0.753 0.667 0.333
0.750 0.725 0.929
0.750 0.071 0.796
0.247 0.333 0.667
0.250 0.275 0.071
0.500 0.000 0.000
```

Question: total magnetic moment of number 2 (NiIr8Ru5)?
Answer: 0.00 μB/cell

Question: Which value of energy of formation does entry 2 give?
Answer: 0.397 eV per atom

Question: Number 3 is which compound?
Answer: NiIr8Ru6